No. 1
A relaxed RbHg2Bi2 crystal, computed with PBE.

Results
- Formation energy: -0.182 eV per atom
- Space-group type: No. 139

a b c (Å): 7.5422 7.5422 7.5422
angles (deg): 140.70 140.70 56.79
Sites, in units of the cell vectors:
Rb1 0.0000 0.0000 0.0000
Hg1 0.3941 0.3941 0.0000
Hg2 0.6059 0.6059 0.0000
Bi1 0.2500 0.7500 0.5000
Bi2 0.7500 0.2500 0.5000

No. 2
A relaxed V2TcTe crystal, computed with PBE.

Results
- Space-group type: No. 122
- Uncorrected formation energy: 0.573 eV per atom

a b c (Å): 9.4958 9.4958 9.4958
angles (deg): 156.41 156.41 33.61
Sites, in units of the cell vectors:
V1 0.1115 0.6250 0.9865
V2 0.3750 0.3615 0.4865
V3 0.6385 0.1250 0.0135
V4 0.8750 0.8885 0.5135
Tc1 0.2500 0.7500 0.5000
Tc2 0.5000 0.5000 0.0000
Te1 0.0000 0.0000 0.0000
Te2 0.7500 0.2500 0.5000

No. 3
A relaxed BaLaIn crystal, computed with PBE.

Results
- Formation energy: -0.214 eV per atom
- Space-group type: No. 8

a b c (Å): 10.3421 10.3421 4.6326
angles (deg): 102.90 102.90 30.16
Sites, in units of the cell vectors:
Ba1 0.0000 0.0000 0.0000
Ba2 0.6424 0.6424 0.6433
La1 0.4189 0.4189 0.4190
La2 0.8038 0.8038 0.3048
In1 0.2011 0.2011 0.2022
In2 0.3023 0.3023 0.8030

No. 4
A relaxed MnNb5 crystal, computed with PBE.

Results
- Formation energy: -0.020 eV per atom
- Space-group type: No. 123

a b c (Å): 3.2177 3.2177 9.8753
angles (deg): 90.00 90.00 90.00
Sites, in units of the cell vectors:
Mn1 0.0000 0.0000 0.0000
Nb1 0.0000 0.0000 0.3279
Nb2 0.0000 0.0000 0.6721
Nb3 0.5000 0.5000 0.1520
Nb4 0.5000 0.5000 0.5000
Nb5 0.5000 0.5000 0.8480

No. 5
A relaxed CsK3Au crystal, computed with PBE.

Results
- Formation energy: -0.123 eV per atom
- Space-group type: No. 11

a b c (Å): 6.5396 10.4213 9.1489
angles (deg): 90.00 97.98 90.00
Sites, in units of the cell vectors:
Cs1 0.0432 0.2500 0.0826
Cs2 0.9568 0.7500 0.9174
K1 0.0604 0.7500 0.4618
K2 0.4692 0.0326 0.7216
K3 0.4692 0.4674 0.7216
K4 0.5308 0.5326 0.2784
K5 0.5308 0.9674 0.2784
K6 0.9396 0.2500 0.5382
Au1 0.4171 0.2500 0.4317
Au2 0.5829 0.7500 0.5683

No. 6
A relaxed RbH3F6 crystal, computed with PBE.

Results
- Space-group type: No. 160
- Total energy: -36.30 eV/cell

a b c (Å): 5.5487 5.5487 5.5487
angles (deg): 109.41 109.41 109.41
Sites, in units of the cell vectors:
Rb1 0.0000 0.0000 0.0000
H1 0.1349 0.5818 0.5818
H2 0.5818 0.1349 0.5818
H3 0.5818 0.5818 0.1349
F1 0.3756 0.7785 0.7785
F2 0.4037 0.4037 0.9103
F3 0.4037 0.9103 0.4037
F4 0.7785 0.3756 0.7785
F5 0.7785 0.7785 0.3756
F6 0.9103 0.4037 0.4037

No. 7
A relaxed Cu2Ni5Pt4 crystal, computed with PBE.

Results
- Formation energy: 0.354 eV per atom
- Space-group type: No. 71

a b c (Å): 9.5045 9.5045 9.5045
angles (deg): 164.03 137.17 45.99
Sites, in units of the cell vectors:
Cu1 0.1090 0.1090 0.0000
Cu2 0.8910 0.8910 0.0000
Ni1 0.0000 0.5000 0.5000
Ni2 0.1723 0.8497 0.3226
Ni3 0.4729 0.1503 0.3226
Ni4 0.5271 0.8497 0.6774
Ni5 0.8277 0.1503 0.6774
Pt1 0.2481 0.2481 0.0000
Pt2 0.3111 0.0000 0.3111
Pt3 0.6889 0.0000 0.6889
Pt4 0.7519 0.7519 0.0000

No. 8
A relaxed Ca2AlOs crystal, computed with PBE.

Results
- Formation energy: 0.320 eV per atom
- Space-group type: No. 139

a b c (Å): 5.2475 5.2475 5.2475
angles (deg): 128.50 128.50 75.81
Sites, in units of the cell vectors:
Ca1 0.2500 0.7500 0.5000
Ca2 0.7500 0.2500 0.5000
Al1 0.0000 0.0000 0.0000
Os1 0.5000 0.5000 0.0000

No. 9
A relaxed La2DyAu4 crystal, computed with PBE.

Results
- Formation energy: -0.696 eV per atom
- Space-group type: No. 139

a b c (Å): 7.6067 7.6067 7.6067
angles (deg): 138.81 138.81 59.66
Sites, in units of the cell vectors:
La1 0.2163 0.2163 0.0000
La2 0.7837 0.7837 0.0000
Dy1 0.5000 0.5000 0.0000
Au1 0.1118 0.6118 0.5000
Au2 0.3882 0.8882 0.5000
Au3 0.6118 0.1118 0.5000
Au4 0.8882 0.3882 0.5000

No. 10
A relaxed Cs2CdH3 crystal, computed with PBE.

Results
- Space-group type: No. 15
- Total energy: -24.86 eV/cell

a b c (Å): 6.8884 6.8884 7.7982
angles (deg): 105.70 105.70 53.51
Sites, in units of the cell vectors:
Cs1 0.1613 0.1668 0.0832
Cs2 0.1668 0.1613 0.5832
Cs3 0.8332 0.8387 0.4168
Cs4 0.8387 0.8332 0.9168
Cd1 0.4920 0.5080 0.2500
Cd2 0.5080 0.4920 0.7500
H1 0.1786 0.8214 0.2500
H2 0.3829 0.3852 0.9350
H3 0.3852 0.3829 0.4350
H4 0.6148 0.6171 0.5650
H5 0.6171 0.6148 0.0650
H6 0.8214 0.1786 0.7500

No. 11
A relaxed NdSm2Er3 crystal, computed with PBE.

Results
- Formation energy: 0.069 eV per atom
- Space-group type: No. 15

a b c (Å): 6.6486 6.6486 8.9743
angles (deg): 97.89 97.89 95.19
Sites, in units of the cell vectors:
Nd1 0.0853 0.9147 0.7500
Nd2 0.9147 0.0853 0.2500
Sm1 0.1293 0.6237 0.3740
Sm2 0.3763 0.8707 0.1260
Sm3 0.6237 0.1293 0.8740
Sm4 0.8707 0.3763 0.6260
Er1 0.1657 0.3331 0.9988
Er2 0.3331 0.1657 0.4988
Er3 0.4188 0.5812 0.7500
Er4 0.5812 0.4188 0.2500
Er5 0.6669 0.8343 0.5012
Er6 0.8343 0.6669 0.0012

No. 12
A relaxed RbAlTlIn2 crystal, computed with PBE.

Results
- Formation energy: 0.142 eV per atom
- Space-group type: No. 123

a b c (Å): 5.5407 5.5407 5.6722
angles (deg): 90.00 90.00 90.00
Sites, in units of the cell vectors:
Rb1 0.0000 0.0000 0.0000
Al1 0.5000 0.5000 0.5000
Tl1 0.5000 0.5000 0.0000
In1 0.0000 0.5000 0.5000
In2 0.5000 0.0000 0.5000

No. 13
A relaxed SrPuZnCd crystal, computed with PBE.

Results
- Formation energy: -0.012 eV per atom
- Space-group type: No. 216

a b c (Å): 5.4332 5.4332 5.4332
angles (deg): 60.00 60.00 60.00
Sites, in units of the cell vectors:
Sr1 0.0000 0.0000 0.0000
Pu1 0.5000 0.5000 0.5000
Zn1 0.2500 0.2500 0.2500
Cd1 0.7500 0.7500 0.7500